! AgPd2Pb, relaxed, DFT PBE; values from VASP
! Calculated total energy, eV/atom: -4.30
! Total magnetic moment, μB/cell: 0.0
! Formation energy from the elements, eV/atom: -0.059
&SYSTEM
  ibrav = 0, nat = 4, ntyp = 3
/
ATOMIC_SPECIES
Ag 107.87 Ag.upf
Pd 106.42 Pd.upf
Pb 207.20 Pb.upf
ATOMIC_POSITIONS angstrom
Ag 0.0000 0.0000 0.0000
Pd 3.3214 3.3214 3.3214
Pd 4.9821 4.9821 4.9821
Pb 1.6607 1.6607 1.6607
CELL_PARAMETERS angstrom
0.0000 3.3214 3.3214
3.3214 0.0000 3.3214
3.3214 3.3214 0.0000

---

! Ag3Pd4Pb2, relaxed, DFT PBE; values from VASP
! Calculated total energy, eV/atom: -4.21
! Total magnetic moment, μB/cell: 0.0
! Formation energy from the elements, eV/atom: -0.132
&SYSTEM
  ibrav = 0, nat = 9, ntyp = 3
/
ATOMIC_SPECIES
Ag 107.87 Ag.upf
Pd 106.42 Pd.upf
Pb 207.20 Pb.upf
ATOMIC_POSITIONS angstrom
Ag 0.0000 0.0000 0.0000
Ag 2.1854 2.1452 3.8912
Ag 4.3579 3.8795 4.8032
Pd 2.1750 4.9104 2.8698
Pd 4.3683 1.1143 5.8246
Pd 2.1692 1.6563 0.9506
Pd 4.3741 4.3683 7.7438
Pb 2.2079 2.7592 6.7845
Pb 4.3354 3.2655 1.9099
CELL_PARAMETERS angstrom
4.3307 0.0000 0.0000
2.1552 4.3634 0.0000
0.0573 1.6613 8.6944

---

! Ag2PdPb, relaxed, DFT PBE; values from VASP
! Calculated total energy, eV/atom: -3.45
! Total magnetic moment, μB/cell: 0.0
! Formation energy from the elements, eV/atom: 0.203
&SYSTEM
  ibrav = 0, nat = 4, ntyp = 3
/
ATOMIC_SPECIES
Ag 107.87 Ag.upf
Pd 106.42 Pd.upf
Pb 207.20 Pb.upf
ATOMIC_POSITIONS angstrom
Ag 0.0000 0.0000 2.9633
Ag 0.0000 0.0000 27.9186
Pd 0.0000 0.0000 15.4409
Pb 0.0000 0.0000 0.0000
CELL_PARAMETERS angstrom
1.5458 0.8925 10.2939
-1.5458 0.8925 10.2939
0.0000 -1.7850 10.2939

---

! AgPd3Pb5, relaxed, DFT PBE; values from VASP
! Calculated total energy, eV/atom: -4.14
! Total magnetic moment, μB/cell: 0.0
! Formation energy from the elements, eV/atom: -0.030
&SYSTEM
  ibrav = 0, nat = 18, ntyp = 3
/
ATOMIC_SPECIES
Ag 107.87 Ag.upf
Pd 106.42 Pd.upf
Pb 207.20 Pb.upf
ATOMIC_POSITIONS angstrom
Ag -0.3987 0.0000 2.8109
Ag 7.2635 0.0000 4.3437
Pd 0.0000 0.0000 0.0000
Pd -3.1805 0.0000 3.5773
Pd 2.2069 0.0000 1.8885
Pd -0.9446 0.0000 5.7020
Pd 7.8095 0.0000 1.4526
Pd 4.6579 0.0000 5.2661
Pb 1.8348 2.5659 2.8990
Pb -3.6679 0.0000 6.3575
Pb 6.6129 2.1890 0.0000
Pb 5.0300 2.5659 4.2556
Pb 1.9012 0.0000 5.0842
Pb 4.9636 0.0000 2.0703
Pb 1.8348 -2.5659 2.8990
Pb 6.6129 -2.1890 0.0000
Pb 10.5327 0.0000 0.7971
Pb 5.0300 -2.5659 4.2556
CELL_PARAMETERS angstrom
6.6129 -4.9431 0.0000
6.6129 4.9431 0.0000
-6.3609 0.0000 7.1546